[1]
# PBE CrWAu2, optimized geometry
# Total magnetic moment = 0.645 μB per atom
# Density of states at the Fermi level = 3.32 states/eV/f.u.
# E above lowest polymorph = 137.4 meV per atom
# E_tot = -6.86 eV/atom
data_CrWAu2
_chemical_formula_sum 'Cr1 W1 Au2'
_symmetry_space_group_name_H-M 'P m m m'
_symmetry_Int_Tables_number 47
_symmetry_space_group_name_Hall '-P 2 2'
_cell_length_a 2.852
_cell_length_b 4.187
_cell_length_c 5.471
_cell_angle_alpha 90.00
_cell_angle_beta 90.00
_cell_angle_gamma 90.00
loop_
_atom_site_label
_atom_site_fract_x
_atom_site_fract_y
_atom_site_fract_z
Cr1 0.000 0.000 0.000
W1 0.000 0.000 0.500
Au1 0.500 0.500 0.251


[2]
# PBE CrW2Au, optimized geometry
# Total magnetic moment = 0.616 μB per atom
# Density of states at the Fermi level = 4.12 states/eV/f.u.
# E above lowest polymorph = 118.4 meV per atom
# E_tot = -9.29 eV/atom
data_CrW2Au
_chemical_formula_sum 'Cr1 W2 Au1'
_symmetry_space_group_name_H-M 'P 4 m m'
_symmetry_Int_Tables_number 99
_symmetry_space_group_name_Hall 'P 4 -2'
_cell_length_a 2.742
_cell_length_b 2.742
_cell_length_c 8.478
_cell_angle_alpha 90.00
_cell_angle_beta 90.00
_cell_angle_gamma 90.00
loop_
_atom_site_label
_atom_site_fract_x
_atom_site_fract_y
_atom_site_fract_z
Cr1 0.000 0.000 0.000
W1 0.000 0.000 0.489
W2 0.500 0.500 0.226
Au1 0.500 0.500 0.750


[3]
# PBE CrWAu2, optimized geometry
# Total magnetic moment = 0.287 μB per atom
# Density of states at the Fermi level = 5.71 states/eV/f.u.
# E above lowest polymorph = 295.9 meV per atom
# E_tot = -6.70 eV/atom
data_CrWAu2
_chemical_formula_sum 'Cr4 W4 Au8'
_symmetry_space_group_name_H-M 'F -4 3 m'
_symmetry_Int_Tables_number 216
_symmetry_space_group_name_Hall 'F -4 2 3'
_cell_length_a 6.386
_cell_length_b 6.386
_cell_length_c 6.386
_cell_angle_alpha 90.00
_cell_angle_beta 90.00
_cell_angle_gamma 90.00
loop_
_atom_site_label
_atom_site_fract_x
_atom_site_fract_y
_atom_site_fract_z
Cr1 0.000 0.000 0.000
W1 0.250 0.250 0.250
Au1 0.000 0.000 0.500
Au2 0.250 0.250 0.750


[4]
# PBE Cr2WAu, optimized geometry
# Total magnetic moment = 0.000 μB per atom
# Density of states at the Fermi level = 3.93 states/eV/f.u.
# E above lowest polymorph = 84.6 meV per atom
# E_tot = -8.52 eV/atom
data_Cr2WAu
_chemical_formula_sum 'Cr4 W2 Au2'
_symmetry_space_group_name_H-M 'I m m 2'
_symmetry_Int_Tables_number 44
_symmetry_space_group_name_Hall 'I 2 -2'
_cell_length_a 3.230
_cell_length_b 4.256
_cell_length_c 8.297
_cell_angle_alpha 90.00
_cell_angle_beta 90.00
_cell_angle_gamma 90.00
loop_
_atom_site_label
_atom_site_fract_x
_atom_site_fract_y
_atom_site_fract_z
Cr1 0.000 0.000 0.000
Cr2 0.000 0.500 0.286
W1 0.000 0.500 0.745
Au1 0.000 0.000 0.520


[5]
# PBE Cr2WAu, optimized geometry
# Total magnetic moment = 1.014 μB per atom
# Density of states at the Fermi level = 4.59 states/eV/f.u.
# E above lowest polymorph = 0.0 meV per atom
# E_tot = -8.60 eV/atom
data_Cr2WAu
_chemical_formula_sum 'Cr2 W1 Au1'
_symmetry_space_group_name_H-M 'P 4/m m m'
_symmetry_Int_Tables_number 123
_symmetry_space_group_name_Hall '-P 4 2'
_cell_length_a 3.138
_cell_length_b 3.138
_cell_length_c 6.140
_cell_angle_alpha 90.00
_cell_angle_beta 90.00
_cell_angle_gamma 90.00
loop_
_atom_site_label
_atom_site_fract_x
_atom_site_fract_y
_atom_site_fract_z
Cr1 0.000 0.000 0.227
W1 0.500 0.500 0.000
Au1 0.500 0.500 0.500


[6]
# PBE CrWAu2, optimized geometry
# Total magnetic moment = 0.163 μB per atom
# Density of states at the Fermi level = 2.56 states/eV/f.u.
# E above lowest polymorph = 134.2 meV per atom
# E_tot = -6.86 eV/atom
data_CrWAu2
_chemical_formula_sum 'Cr2 W2 Au4'
_symmetry_space_group_name_H-M 'I m m 2'
_symmetry_Int_Tables_number 44
_symmetry_space_group_name_Hall 'I 2 -2'
_cell_length_a 3.042
_cell_length_b 4.694
_cell_length_c 9.202
_cell_angle_alpha 90.00
_cell_angle_beta 90.00
_cell_angle_gamma 90.00
loop_
_atom_site_label
_atom_site_fract_x
_atom_site_fract_y
_atom_site_fract_z
Cr1 0.000 0.000 0.000
W1 0.000 0.500 0.696
Au1 0.000 0.000 0.474
Au2 0.000 0.500 0.252


[7]
# PBE Cr2WAu, optimized geometry
# Total magnetic moment = 0.511 μB per atom
# Density of states at the Fermi level = 4.42 states/eV/f.u.
# E above lowest polymorph = 266.4 meV per atom
# E_tot = -8.34 eV/atom
data_Cr2WAu
_chemical_formula_sum 'Cr8 W4 Au4'
_symmetry_space_group_name_H-M 'F -4 3 m'
_symmetry_Int_Tables_number 216
_symmetry_space_group_name_Hall 'F -4 2 3'
_cell_length_a 6.212
_cell_length_b 6.212
_cell_length_c 6.212
_cell_angle_alpha 90.00
_cell_angle_beta 90.00
_cell_angle_gamma 90.00
loop_
_atom_site_label
_atom_site_fract_x
_atom_site_fract_y
_atom_site_fract_z
Cr1 0.000 0.000 0.000
Cr2 0.250 0.250 0.250
W1 0.250 0.250 0.750
Au1 0.000 0.000 0.500


[8]
# PBE CrWAu2, optimized geometry
# Total magnetic moment = 0.328 μB per atom
# Density of states at the Fermi level = 3.10 states/eV/f.u.
# E above lowest polymorph = 138.4 meV per atom
# E_tot = -6.86 eV/atom
data_CrWAu2
_chemical_formula_sum 'Cr2 W2 Au4'
_symmetry_space_group_name_H-M 'I 4/m m m'
_symmetry_Int_Tables_number 139
_symmetry_space_group_name_Hall '-I 4 2'
_cell_length_a 3.877
_cell_length_b 3.877
_cell_length_c 8.546
_cell_angle_alpha 90.00
_cell_angle_beta 90.00
_cell_angle_gamma 90.00
loop_
_atom_site_label
_atom_site_fract_x
_atom_site_fract_y
_atom_site_fract_z
Cr1 0.000 0.000 0.000
W1 0.000 0.000 0.500
Au1 0.000 0.500 0.250


[9]
# PBE CrW2Au, optimized geometry
# Total magnetic moment = 0.672 μB per atom
# Density of states at the Fermi level = 4.18 states/eV/f.u.
# E above lowest polymorph = 576.0 meV per atom
# E_tot = -8.84 eV/atom
data_CrW2Au
_chemical_formula_sum 'Cr4 W8 Au4'
_symmetry_space_group_name_H-M 'I -4 2 d'
_symmetry_Int_Tables_number 122
_symmetry_space_group_name_Hall 'I -4 2bw'
_cell_length_a 3.777
_cell_length_b 3.777
_cell_length_c 19.399
_cell_angle_alpha 90.00
_cell_angle_beta 90.00
_cell_angle_gamma 90.00
loop_
_atom_site_label
_atom_site_fract_x
_atom_site_fract_y
_atom_site_fract_z
Cr1 0.000 0.000 0.000
W1 0.235 0.250 0.125
Au1 0.000 0.000 0.500


[10]
# PBE Cr2WAu, optimized geometry
# Total magnetic moment = 0.699 μB per atom
# Density of states at the Fermi level = 2.75 states/eV/f.u.
# E above lowest polymorph = 205.2 meV per atom
# E_tot = -8.40 eV/atom
data_Cr2WAu
_chemical_formula_sum 'Cr6 W3 Au3'
_symmetry_space_group_name_H-M 'R -3 m'
_symmetry_Int_Tables_number 166
_symmetry_space_group_name_Hall '-R 3 2"'
_cell_length_a 2.9179
_cell_length_b 2.9179
_cell_length_c 24.9725
_cell_angle_alpha 90.00
_cell_angle_beta 90.00
_cell_angle_gamma 120.00
loop_
_atom_site_label
_atom_site_fract_x
_atom_site_fract_y
_atom_site_fract_z
Cr1 0.0000 0.0000 0.2433
W1 0.0000 0.0000 0.5000
Au1 0.0000 0.0000 0.0000


[11]
# PBE CrWAu2, optimized geometry
# Total magnetic moment = 0.642 μB per atom
# Density of states at the Fermi level = 2.73 states/eV/f.u.
# E above lowest polymorph = 164.0 meV per atom
# E_tot = -6.83 eV/atom
data_CrWAu2
_chemical_formula_sum 'Cr2 W2 Au4'
_symmetry_space_group_name_H-M 'C 1 2/m 1'
_symmetry_Int_Tables_number 12
_symmetry_space_group_name_Hall '-C 2y'
_cell_length_a 9.571
_cell_length_b 2.847
_cell_length_c 4.887
_cell_angle_alpha 90.00
_cell_angle_beta 99.59
_cell_angle_gamma 90.00
loop_
_atom_site_label
_atom_site_fract_x
_atom_site_fract_y
_atom_site_fract_z
Cr1 0.000 0.000 0.000
W1 0.000 0.500 0.500
Au1 0.249 0.000 0.749


[12]
# PBE CrW2Au, optimized geometry
# Total magnetic moment = 0.000 μB per atom
# Density of states at the Fermi level = 3.47 states/eV/f.u.
# E above lowest polymorph = 0.0 meV per atom
# E_tot = -9.41 eV/atom
data_CrW2Au
_chemical_formula_sum 'Cr2 W4 Au2'
_symmetry_space_group_name_H-M 'C m m 2'
_symmetry_Int_Tables_number 35
_symmetry_space_group_name_Hall 'C 2 -2'
_cell_length_a 3.205
_cell_length_b 4.390
_cell_length_c 8.878
_cell_angle_alpha 90.00
_cell_angle_beta 90.00
_cell_angle_gamma 90.00
loop_
_atom_site_label
_atom_site_fract_x
_atom_site_fract_y
_atom_site_fract_z
Cr1 0.000 0.000 0.000
W1 0.000 0.000 0.520
W2 0.000 0.500 0.773
Au1 0.000 0.500 0.250


[13]
# PBE CrW2Au, optimized geometry
# Total magnetic moment = 0.306 μB per atom
# Density of states at the Fermi level = 3.50 states/eV/f.u.
# E above lowest polymorph = 39.7 meV per atom
# E_tot = -9.37 eV/atom
data_CrW2Au
_chemical_formula_sum 'Cr1 W2 Au1'
_symmetry_space_group_name_H-M 'P 4/m m m'
_symmetry_Int_Tables_number 123
_symmetry_space_group_name_Hall '-P 4 2'
_cell_length_a 3.870
_cell_length_b 3.870
_cell_length_c 4.124
_cell_angle_alpha 90.00
_cell_angle_beta 90.00
_cell_angle_gamma 90.00
loop_
_atom_site_label
_atom_site_fract_x
_atom_site_fract_y
_atom_site_fract_z
Cr1 0.000 0.000 0.000
W1 0.000 0.500 0.500
Au1 0.500 0.500 0.000


[14]
# PBE Cr2WAu, optimized geometry
# Total magnetic moment = 0.000 μB per atom
# Density of states at the Fermi level = 3.06 states/eV/f.u.
# E above lowest polymorph = 47.6 meV per atom
# E_tot = -8.56 eV/atom
data_Cr2WAu
_chemical_formula_sum 'Cr4 W2 Au2'
_symmetry_space_group_name_H-M 'C m m m'
_symmetry_Int_Tables_number 65
_symmetry_space_group_name_Hall '-C 2 2'
_cell_length_a 3.137
_cell_length_b 4.329
_cell_length_c 8.607
_cell_angle_alpha 90.00
_cell_angle_beta 90.00
_cell_angle_gamma 90.00
loop_
_atom_site_label
_atom_site_fract_x
_atom_site_fract_y
_atom_site_fract_z
Cr1 0.000 0.000 0.239
W1 0.000 0.500 0.000
Au1 0.000 0.500 0.500


[15]
# PBE CrW2Au, optimized geometry
# Total magnetic moment = 0.000 μB per atom
# Density of states at the Fermi level = 2.66 states/eV/f.u.
# E above lowest polymorph = 19.1 meV per atom
# E_tot = -9.39 eV/atom
data_CrW2Au
_chemical_formula_sum 'Cr2 W4 Au2'
_symmetry_space_group_name_H-M 'C m m m'
_symmetry_Int_Tables_number 65
_symmetry_space_group_name_Hall '-C 2 2'
_cell_length_a 3.185
_cell_length_b 4.385
_cell_length_c 8.888
_cell_angle_alpha 90.00
_cell_angle_beta 90.00
_cell_angle_gamma 90.00
loop_
_atom_site_label
_atom_site_fract_x
_atom_site_fract_y
_atom_site_fract_z
Cr1 0.000 0.000 0.000
W1 0.000 0.500 0.229
Au1 0.000 0.000 0.500